# 1
The following is a PBE calculation of crystalline CuHg3 at its relaxed geometry, from Alexandria via LeMat-Bulk.

```
data_CuHg3
_chemical_formula_sum 'Cu2 Hg6'
_cell_length_a 4.387
_cell_length_b 4.407
_cell_length_c 8.941
_cell_angle_alpha 90.00
_cell_angle_beta 90.00
_cell_angle_gamma 90.00
_symmetry_space_group_name_H-M 'C m m m'
_symmetry_Int_Tables_number 65
_symmetry_space_group_name_Hall '-C 2 2'
loop_
_atom_site_label
_atom_site_fract_x
_atom_site_fract_y
_atom_site_fract_z
Cu1 0.000 0.000 0.000
Hg1 0.000 0.000 0.500
Hg2 0.000 0.500 0.201
```

Summary:
crystal system: orthorhombic
ΔE_f: 174 meV per atom

***

# 2
The following is a PBE calculation of crystalline Cu8Hg at its relaxed geometry, from Alexandria via LeMat-Bulk.

```
data_Cu8Hg
_chemical_formula_sum 'Cu16 Hg2'
_cell_length_a 7.948
_cell_length_b 7.948
_cell_length_c 3.713
_cell_angle_alpha 90.00
_cell_angle_beta 90.00
_cell_angle_gamma 90.00
_symmetry_space_group_name_H-M 'I 4/m m m'
_symmetry_Int_Tables_number 139
_symmetry_space_group_name_Hall '-I 4 2'
loop_
_atom_site_label
_atom_site_fract_x
_atom_site_fract_y
_atom_site_fract_z
Cu1 0.000 0.342 0.000
Cu2 0.175 0.175 0.500
Hg1 0.000 0.000 0.000
```

Summary:
crystal system: tetragonal
ΔE_f: 72 meV per atom

***

# 3
The following is a PBE calculation of crystalline Cu3Hg at its relaxed geometry, from Alexandria via LeMat-Bulk.

```
data_Cu3Hg
_chemical_formula_sum 'Cu12 Hg4'
_cell_length_a 7.635
_cell_length_b 8.744
_cell_length_c 3.969
_cell_angle_alpha 90.00
_cell_angle_beta 90.00
_cell_angle_gamma 90.00
_symmetry_space_group_name_H-M 'C m c m'
_symmetry_Int_Tables_number 63
_symmetry_space_group_name_Hall '-C 2c 2'
loop_
_atom_site_label
_atom_site_fract_x
_atom_site_fract_y
_atom_site_fract_z
Cu1 0.000 0.076 0.250
Cu2 0.162 0.191 0.750
Hg1 0.000 0.380 0.250
```

Summary:
crystal system: orthorhombic
ΔE_f: 266 meV per atom

***

# 4
The following is a PBE calculation of crystalline Cu6Hg at its relaxed geometry, from Alexandria via LeMat-Bulk.

```
data_Cu6Hg
_chemical_formula_sum 'Cu12 Hg2'
_cell_length_a 6.508
_cell_length_b 6.508
_cell_length_c 6.508
_cell_angle_alpha 90.00
_cell_angle_beta 90.00
_cell_angle_gamma 90.00
_symmetry_space_group_name_H-M 'I m -3 m'
_symmetry_Int_Tables_number 229
_symmetry_space_group_name_Hall '-I 4 2 3'
loop_
_atom_site_label
_atom_site_fract_x
_atom_site_fract_y
_atom_site_fract_z
Cu1 0.000 0.250 0.500
Hg1 0.000 0.000 0.000
```

Summary:
crystal system: cubic
ΔE_f: 800 meV per atom

***

# 5
The following is a PBE calculation of crystalline Cu3Hg at its relaxed geometry, from Alexandria via LeMat-Bulk.

```
data_Cu3Hg
_chemical_formula_sum 'Cu6 Hg2'
_cell_length_a 5.474
_cell_length_b 7.526
_cell_length_c 2.827
_cell_angle_alpha 90.00
_cell_angle_beta 90.00
_cell_angle_gamma 90.00
_symmetry_space_group_name_H-M 'C m m m'
_symmetry_Int_Tables_number 65
_symmetry_space_group_name_Hall '-C 2 2'
loop_
_atom_site_label
_atom_site_fract_x
_atom_site_fract_y
_atom_site_fract_z
Cu1 0.000 0.000 0.000
Cu2 0.250 0.250 0.500
Hg1 0.000 0.500 0.000
```

Summary:
crystal system: orthorhombic
ΔE_f: 182 meV per atom

***

# 6
The following is a PBE calculation of crystalline CuHg at its relaxed geometry, from Alexandria via LeMat-Bulk.

```
data_CuHg
_chemical_formula_sum 'Cu2 Hg2'
_cell_length_a 3.0802
_cell_length_b 3.0802
_cell_length_c 8.5938
_cell_angle_alpha 90.00
_cell_angle_beta 90.00
_cell_angle_gamma 120.00
_symmetry_space_group_name_H-M 'P 63/m m c'
_symmetry_Int_Tables_number 194
_symmetry_space_group_name_Hall '-P 6c 2c'
loop_
_atom_site_label
_atom_site_fract_x
_atom_site_fract_y
_atom_site_fract_z
Cu1 0.3333 0.6667 0.2500
Hg1 0.0000 0.0000 0.0000
```

Summary:
crystal system: hexagonal
ΔE_f: 269 meV per atom